CaBe2Ni2, relaxed, DFT PBE; E = -4.26 eV/atom; space-group type = P4/mbm, No. 127
1.0
6.8323 0.0000 0.0000
0.0000 6.8323 0.0000
0.0000 0.0000 2.6499
Ni Ca Be
4 2 4
direct
0.1619 0.6619 0.5000
0.6619 0.8381 0.5000
0.8381 0.3381 0.5000
0.3381 0.1619 0.5000
0.0000 0.0000 0.0000
0.5000 0.5000 0.0000
0.3842 0.8842 0.0000
0.8842 0.6158 0.0000
0.6158 0.1158 0.0000
0.1158 0.3842 0.0000